Record 1
ErTmBr6 (PBE, optimized geometry); magnetization = 0.000 μB/atom; E_tot = -33.52 eV per cell; SG = R-3, No. 148
1.0
-4.705 -4.891 -1.717
-0.599 -5.796 3.879
-6.085 -0.685 4.354
Er Tm Br
1 1 6
Direct
0.000 0.000 0.000
0.500 0.500 0.500
0.096 0.405 0.749
0.749 0.096 0.749
0.595 0.251 0.251
0.251 0.904 0.251
0.904 0.595 0.251
0.405 0.749 0.749


Record 2
CsPb2Au2 (PBE, optimized geometry); energy relative to the lowest polymorph listed for this composition = 82 meV/atom; magnetization = 0.000 μB/atom; E_form = -143 meV per atom; SG = I4/mmm, No. 139
1.0
5.024 0.000 0.000
0.000 5.024 0.000
2.512 2.512 6.226
Pb Cs Au
2 1 2
Direct
0.750 0.250 0.500
0.250 0.750 0.500
0.000 0.000 0.000
0.384 0.384 0.232
0.616 0.616 0.768


Density of states at the Fermi level across the listed records, respectively: 0.00, 0.76 states/eV per atom.